1.
Sn2SbAu2: optimized geometry, PBE-GGA.

- energy above the lowest structure with this stoichiometry (meV/atom) = 150
- N(E_F) (states/eV/f.u.) = 1.73

Cell: 4.4625 4.4625 12.5083 Å, 90.00 90.00 90.00°
Last column: nearest neighbours and their distance in Å.
Space group I4/mmm (No. 139)
Asymmetric unit:
1 Sn 0.0000 0.5000 0.2500 x4  4 Au 2.86, 4 Sn 3.16
2 Sb 0.0000 0.0000 0.0000 x2  8 Au 3.43
3 Au 0.0000 0.0000 0.3934 x4  1 Au 2.67, 4 Sn 2.86



2.
SnSbAu2: optimized geometry, PBE-GGA.

- N(E_F) (states/eV/f.u.) = 1.68

Cell: 3.9586 4.2200 11.0197 Å, 90.00 90.00 90.00°
Last column: nearest neighbours and their distance in Å.
Space group Pmc2_1 (No. 26)
Asymmetric unit:
1 Sn 0.0000 0.1776 0.0000 x2  6 Au 2.84-3.04
2 Sb 0.5000 0.3219 0.2867 x2  6 Au 2.86-3.02
3 Au 0.0000 0.1671 0.7422 x2  2 Sn 2.84-3.04, 4 Sb 2.90-2.97, 2 Au 3.02
4 Au 0.5000 0.3383 0.5458 x2  2 Sb 2.86-3.02, 4 Sn 2.89-2.99, 2 Au 3.02



3.
Sn3SbAu: optimized geometry, PBE-GGA.

- energy above the lowest structure with this stoichiometry (meV/atom) = 0
- N(E_F) (states/eV/f.u.) = 2.01

Cell: 10.3612 4.5291 12.3283 Å, 90.00 102.31 90.00°
Last column: nearest neighbours and their distance in Å.
Space group P2_1/c (No. 14)
Asymmetric unit:
1 Sn 0.0347 0.2182 0.1011 x4  3 Au 2.77-2.94, 1 Sn 2.98
2 Sn 0.2166 0.6653 0.3202 x4  1 Au 2.83, 2 Sb 2.97-2.99, 1 Sn 2.98
3 Sn 0.4475 0.5964 0.6718 x4  1 Au 2.79, 2 Sn 3.02, 1 Sb 3.05
4 Sb 0.3524 0.1618 0.4549 x4  4 Sn 2.97-3.30, 1 Au 3.08
5 Au 0.1902 0.7079 0.0874 x4  5 Sn 2.77-2.94, 1 Sb 3.08



Calculated values (eV per atom) of formation energy (no corrections) for the records, taken in order: 0.08, -0.10, -0.01.
Calculated values (eV per cell) of final energy for the records, taken in order: -36.599, -30.127, -77.789.